Below is a relaxed structure of CsNbSb3, with properties calculated at the PBE level.

a = 5.511 Å, b = 5.511 Å, c = 5.511 Å
α = 90.00°, β = 90.00°, γ = 90.00°
Fractional coordinates of all 5 atoms:
Cs1 0.500 0.500 0.500
Sb1 0.000 0.500 0.000
Sb2 0.000 0.000 0.500
Sb3 0.500 0.000 0.000
Nb1 0.000 0.000 0.000

energy relative to the lowest polymorph listed for this composition: 0.000 eV/atom
DFT total energy: -4.692 eV per atom
space group: No. 221
crystal system: cubic

---

Below is a relaxed structure of CsNb2Sb, with properties calculated at the PBE level.

a = 8.396 Å, b = 8.396 Å, c = 6.743 Å
α = 51.49°, β = 51.49°, γ = 90.00°
Fractional coordinates of all 8 atoms:
Cs1 0.750 0.250 0.500
Cs2 0.000 0.000 0.000
Nb1 0.875 0.817 0.750
Nb2 0.567 0.125 0.250
Nb3 0.183 0.625 0.250
Nb4 0.375 0.433 0.750
Sb1 0.250 0.750 0.500
Sb2 0.500 0.500 0.000

DFT total energy: -4.868 eV per atom
space group: No. 122
crystal system: tetragonal

---

Below is a relaxed structure of CsNb2TlSb, with properties calculated at the PBE level.

a = 5.483 Å, b = 6.132 Å, c = 5.483 Å
α = 90.00°, β = 90.00°, γ = 90.00°
Each line ends with the local moment (μB).
Fractional coordinates of all 5 atoms:
Sb1 0.500 0.500 0.500  -0.28
Cs1 0.000 0.500 0.000  0.03
Nb1 0.500 0.000 0.000  1.96
Nb2 0.000 0.000 0.500  2.09
Tl1 0.000 0.000 0.000  0.03

DFT total energy: -3.819 eV per atom
space group: No. 123
crystal system: tetragonal

---

Below is a relaxed structure of CsSc2Nb, with properties calculated at the PBE level.

a = 7.816 Å, b = 7.816 Å, c = 7.855 Å
α = 60.17°, β = 60.17°, γ = 90.00°
Each line ends with the local moment (μB).
Fractional coordinates of all 8 atoms:
Cs1 0.000 0.000 0.000  0.01
Cs2 0.750 0.250 0.500  0.01
Sc1 0.375 0.625 0.250  0.06
Sc2 0.375 0.625 0.750  0.06
Sc3 0.875 0.625 0.750  0.07
Sc4 0.375 0.125 0.250  0.05
Nb1 0.500 0.500 0.000  0.16
Nb2 0.250 0.750 0.500  0.16

energy relative to the lowest polymorph listed for this composition: 0.176 eV/atom
energy of formation from the pure elements: 1252 meV/atom
DFT total energy: -4.645 eV per atom
space group: No. 141
crystal system: tetragonal

---

Below is a relaxed structure of CsSc3Nb, with properties calculated at the PBE level.

a = 5.169 Å, b = 5.169 Å, c = 5.169 Å
α = 90.00°, β = 90.00°, γ = 90.00°
Each line ends with the local moment (μB).
Fractional coordinates of all 5 atoms:
Cs1 0.000 0.000 0.000  -0.04
Nb1 0.500 0.500 0.500  1.71
Sc1 0.000 0.500 0.000  -0.03
Sc2 0.000 0.000 0.500  -0.03
Sc3 0.500 0.000 0.000  -0.03

energy relative to the lowest polymorph listed for this composition: 1.000 eV/atom
energy of formation from the pure elements: 1764 meV/atom
DFT total energy: -4.220 eV per atom
space group: No. 221
crystal system: cubic

---

Below is a relaxed structure of CsScNb2, with properties calculated at the PBE level.

a = 5.039 Å, b = 5.039 Å, c = 5.039 Å
α = 60.00°, β = 60.00°, γ = 60.00°
Fractional coordinates of all 4 atoms:
Sc1 0.000 0.000 0.000
Cs1 0.500 0.500 0.500
Nb1 0.250 0.250 0.250
Nb2 0.750 0.750 0.750

energy relative to the lowest polymorph listed for this composition: 0.074 eV/atom
energy of formation from the pure elements: 1617 meV/atom
DFT total energy: -5.214 eV per atom
space group: No. 225
crystal system: cubic

---

What is the formula in the first record? CsNbSb3